1.
PBE-GGA VGeMo2, relaxed; calculated total energy = -8.8881 eV per atom; mass density = 8801 kg/m³
1.0
3.941 0.000 0.000
0.000 3.941 0.000
0.000 0.000 3.832
V Ge Mo
1 1 2
Direct
0.000 0.000 0.000 V
0.500 0.500 0.000 Ge
0.000 0.500 0.500 Mo
0.500 0.000 0.500 Mo

=====

2.
PBE-GGA Zr5Pb3, relaxed; polymorph energy (0 for the lowest one) = 0.0 meV per atom; mass density = 9381 kg/m³
1.0
8.654 0.000 0.000
-4.327 7.494 0.000
0.000 0.000 5.883
Zr Pb
10 6
Direct
0.000 0.247 0.250 Zr
0.000 0.753 0.750 Zr
0.247 0.000 0.250 Zr
0.247 0.247 0.750 Zr
0.333 0.667 0.000 Zr
0.333 0.667 0.500 Zr
0.667 0.333 0.000 Zr
0.667 0.333 0.500 Zr
0.753 0.000 0.750 Zr
0.753 0.753 0.250 Zr
0.000 0.391 0.750 Pb
0.000 0.609 0.250 Pb
0.391 0.000 0.750 Pb
0.391 0.391 0.250 Pb
0.609 0.000 0.250 Pb
0.609 0.609 0.750 Pb

=====

3.
PBE-GGA Cd2AsPtBr, relaxed; ΔE_f (raw) = 663 meV per atom; mass density = 6935 kg/m³
1.0
5.175 0.000 0.000
0.000 5.175 0.000
0.000 0.000 5.139
Cd As Pt Br
2 1 1 1
Direct
0.000 0.500 0.000 Cd
0.500 0.000 0.000 Cd
0.000 0.000 0.000 As
0.500 0.500 0.500 Pt
0.000 0.000 0.500 Br

=====

4.
PBE-GGA TbPm8Pr4, relaxed; calculated total energy = -4.2683 eV per atom; mass density = 6244 kg/m³
1.0
5.666 3.271 4.502
-5.666 3.271 4.502
0.000 -6.542 4.502
Tb Pm Pr
1 8 4
Direct
0.000 0.000 0.000 Tb
0.252 0.735 0.735 Pm
0.263 0.263 0.263 Pm
0.265 0.265 0.748 Pm
0.265 0.748 0.265 Pm
0.735 0.252 0.735 Pm
0.735 0.735 0.252 Pm
0.737 0.737 0.737 Pm
0.748 0.265 0.265 Pm
0.000 0.000 0.500 Pr
0.000 0.500 0.000 Pr
0.500 0.000 0.000 Pr
0.500 0.500 0.500 Pr

=====

5.
PBE-GGA HoPuCu2, relaxed; polymorph energy (0 for the lowest one) = 0.0 meV per atom; mass density = 10788 kg/m³
1.0
3.411 0.000 0.000
0.000 3.411 0.000
0.000 0.000 7.090
Ho Pu Cu
1 1 2
Direct
0.000 0.000 0.000 Ho
0.000 0.000 0.500 Pu
0.500 0.500 0.234 Cu
0.500 0.500 0.766 Cu

=====

6.
PBE-GGA SmEr3Tm, relaxed; polymorph energy (0 for the lowest one) = 0.0 meV per atom; mass density = 8673 kg/m³
1.0
6.241 0.000 0.000
0.000 5.591 0.000
-3.119 0.000 9.009
Sm Er Tm
2 6 2
Direct
0.068 0.250 0.300 Sm
0.932 0.750 0.700 Sm
0.134 0.750 0.098 Er
0.268 0.250 0.702 Er
0.335 0.750 0.501 Er
0.665 0.250 0.499 Er
0.732 0.750 0.298 Er
0.866 0.250 0.902 Er
0.466 0.250 0.099 Tm
0.534 0.750 0.901 Tm

=====

7.
PBE-GGA ErTmAlRh, relaxed; calculated total energy = -5.6359 eV per atom; mass density = 9106 kg/m³
1.0
0.000 3.490 3.490
3.490 0.000 3.490
3.490 3.490 0.000
Er Tm Al Rh
1 1 1 1
Direct
0.000 0.000 0.000 Er
0.500 0.500 0.500 Tm
0.750 0.750 0.750 Al
0.250 0.250 0.250 Rh

=====

8.
PBE-GGA BaMnP2Ru, relaxed; calculated total energy = -7.0576 eV per atom; mass density = 5985 kg/m³
1.0
-1.970 1.970 6.348
1.970 -1.970 6.348
1.970 1.970 -6.348
Ba Mn P Ru
1 1 2 1
Direct
0.000 0.000 0.000 Ba
0.750 0.250 0.500 Mn
0.347 0.347 0.000 P
0.653 0.653 0.000 P
0.250 0.750 0.500 Ru

=====

9.
PBE-GGA KLaMg2N, relaxed; ΔE_f (raw) = 372 meV per atom; mass density = 3416 kg/m³
1.0
4.512 0.000 0.000
0.000 4.512 0.000
0.000 0.000 5.746
K La Mg N
1 1 2 1
Direct
0.000 0.000 0.000 K
0.500 0.500 0.000 La
0.000 0.500 0.500 Mg
0.500 0.000 0.500 Mg
0.000 0.000 0.500 N

=====

10.
PBE-GGA TaAl2Sb, relaxed; ΔE_f (raw) = 129 meV per atom; mass density = 7592 kg/m³
1.0
1.560 0.901 9.256
-1.560 0.901 9.256
0.000 -1.801 9.256
Ta Al Sb
1 2 1
Direct
0.000 0.000 0.000 Ta
0.256 0.256 0.256 Al
0.744 0.744 0.744 Al
0.500 0.500 0.500 Sb

=====

11.
PBE-GGA Tb2CeMgS6, relaxed; ΔE_f (raw) = -1794 meV per atom; mass density = 4506 kg/m³
1.0
3.434 1.982 6.088
-3.434 1.982 6.088
0.000 -3.965 6.088
Tb Ce Mg S
2 1 1 6
Direct
0.000 0.000 0.000 Tb
0.499 0.499 0.499 Tb
0.798 0.798 0.798 Ce
0.296 0.296 0.296 Mg
0.093 0.683 0.405 S
0.192 0.584 0.912 S
0.405 0.093 0.683 S
0.584 0.912 0.192 S
0.683 0.405 0.093 S
0.912 0.192 0.584 S

=====

12.
PBE-GGA HAuCl2O, relaxed; calculated total energy = -1.9984 eV per atom; mass density = 6077 kg/m³
1.0
4.692 0.000 0.000
0.000 4.692 0.000
0.000 0.000 3.536
H Au Cl O
1 1 2 1
Direct
0.000 0.000 0.000 H
0.000 0.000 0.500 Au
0.000 0.500 0.000 Cl
0.500 0.000 0.000 Cl
0.500 0.500 0.500 O